{
  "formula": "CrAs2PtO8",
  "functional": "PBE with a Hubbard U",
  "state": "optimized geometry",
  "lattice_angstrom": [[-3.3557, 3.3557, 3.2091], [3.3557, -3.3557, 3.2091], [3.3557, 3.3557, -3.2091]],
  "species": ["Cr", "As", "As", "Pt", "O", "O", "O", "O", "O", "O", "O", "O"],
  "fractional_positions": [[0.0000, 0.0000, 0.0000], [0.2500, 0.7500, 0.5000], [0.5000, 0.5000, 0.0000], [0.7500, 0.2500, 0.5000], [0.0721, 0.3781, 0.3059], [0.0721, 0.7662, 0.6941], [0.1192, 0.3066, 0.8126], [0.2338, 0.9279, 0.3059], [0.4940, 0.3066, 0.1874], [0.6219, 0.9279, 0.6941], [0.6934, 0.5060, 0.8126], [0.6934, 0.8808, 0.1874]],
  "spacegroup": "I-4m2, No. 119",
  "dft_energy_ev_per_cell": -71.156,
  "crystal_system": "tetragonal",
  "vol_a3_per_fu": 144.5
}